w) ## CeY2Tc (PBE-GGA)

Data for a relaxed CeY2Tc crystal.

a b c (Å): 3.459 3.459 8.963
angles (deg): 90.00 90.00 90.00
Space group P4/mmm (No. 123)
Inequivalent atoms, fractional coordinates:
Ce 0.000 0.000 0.000 x1
Y 0.500 0.500 0.315 x2
Tc 0.000 0.000 0.500 x1

=====

x) ## CeY2Tc (PBE-GGA)

Data for a relaxed CeY2Tc crystal.

a b c (Å): 7.186 9.655 6.339
angles (deg): 90.00 90.00 90.00
Space group Pnma (No. 62)
Inequivalent atoms, fractional coordinates:
Ce 0.056 0.250 0.146 x4
Y 0.176 0.065 0.672 x8
Tc 0.135 0.750 0.506 x4

=====

x) is the most stable structure; the next one sits 0.286 eV/atom above it.

=====

w) ## Ce2Te3 (PBE-GGA)

Data for a relaxed Ce2Te3 crystal.

a b c (Å): 4.052 4.052 18.068
angles (deg): 90.00 90.00 90.00
Space group I4/mmm (No. 139)
Inequivalent atoms, fractional coordinates:
Ce 0.000 0.000 0.115 x4
Te 0.000 0.000 0.305 x4
Te 0.000 0.000 0.500 x2

=====

x) ## Ce2Te3 (PBE-GGA)

Data for a relaxed Ce2Te3 crystal.

a b c (Å): 12.258 4.446 11.933
angles (deg): 90.00 90.00 90.00
Space group Pnma (No. 62)
Inequivalent atoms, fractional coordinates:
Ce 0.013 0.250 0.187 x4
Ce 0.195 0.250 0.501 x4
Te 0.047 0.750 0.374 x4
Te 0.122 0.250 0.942 x4
Te 0.228 0.750 0.702 x4

=====

x) is the most stable structure; the next one sits 0.169 eV/atom above it.

=====

w) ## Ce3Te (PBE-GGA)

Data for a relaxed Ce3Te crystal.

a b c (Å): 4.711 4.711 4.711
angles (deg): 90.00 90.00 90.00
Space group Pm-3m (No. 221)
Inequivalent atoms, fractional coordinates:
Ce 0.000 0.000 0.500 x3
Te 0.500 0.500 0.500 x1

=====

x) ## Ce3Te (PBE-GGA)

Data for a relaxed Ce3Te crystal.

a b c (Å): 3.865 10.322 5.596
angles (deg): 90.00 90.00 90.00
Space group Imm2 (No. 44)
Inequivalent atoms, fractional coordinates:
Ce 0.000 0.000 0.000 x2
Ce 0.000 0.221 0.686 x4
Te 0.000 0.500 0.973 x2

=====

y) ## Ce3Te (PBE-GGA)

Data for a relaxed Ce3Te crystal.

a b c (Å): 3.655 5.271 5.681
angles (deg): 90.00 90.00 90.00
Space group Pmm2 (No. 25)
Inequivalent atoms, fractional coordinates:
Ce 0.000 0.000 0.000 x1
Ce 0.000 0.500 0.409 x1
Ce 0.500 0.000 0.541 x1
Te 0.500 0.500 0.896 x1

=====

z) ## Ce3Te (PBE-GGA)

Data for a relaxed Ce3Te crystal.

a b c (Å): 4.660 4.660 9.717
angles (deg): 90.00 90.00 90.00
Space group I4/mmm (No. 139)
Inequivalent atoms, fractional coordinates:
Ce 0.000 0.000 0.000 x2
Ce 0.000 0.500 0.250 x4
Te 0.000 0.000 0.500 x2

=====

w) is the most stable structure; the next one sits 0.042 eV/atom above it.

=====

w) ## CeTh2Te4 (PBE-GGA)

Data for a relaxed CeTh2Te4 crystal.

a b c (Å): 9.438 9.438 9.500
angles (deg): 90.00 90.00 90.00
Space group I-42d (No. 122)
Inequivalent atoms, fractional coordinates:
Ce 0.000 0.000 0.000 x4
Th 0.119 0.750 0.625 x8
Te 0.078 0.674 0.952 x16

=====

x) ## CeTh2Te4 (PBE-GGA)

Data for a relaxed CeTh2Te4 crystal.

a b c (Å): 4.273 14.272 15.753
angles (deg): 90.00 90.00 90.00
Space group Cmcm (No. 63)
Inequivalent atoms, fractional coordinates:
Ce 0.000 0.105 0.250 x4
Th 0.000 0.352 0.061 x8
Te 0.000 0.000 0.000 x4
Te 0.000 0.290 0.633 x8
Te 0.000 0.438 0.250 x4

=====

w) is the most stable structure; the next one sits 0.046 eV/atom above it.